# CaMoN2O

An optimized crystal structure of CaMoN2O (PBE+U, the Alexandria database).

Total DFT energy (no corrections) in eV/atom: -4.716

Cell: 4.4097 4.4097 4.1447 Å, 90.00 90.00 90.00°
With the nearest neighbours (Å) after each atom.
Element x y z (fractional)
Ca: 0.0000 0.0000 0.0000  2 O 2.07, 4 N 2.20
O: 0.0000 0.0000 0.5000  2 Ca 2.07
Mo: 0.5000 0.5000 0.5000  8 N 3.03, 4 O 3.12
N: 0.5000 0.0000 0.0000  2 Ca 2.20
N: 0.0000 0.5000 0.0000  2 Ca 2.20